No. 1
HfPaB4, optimized geometry, DFT PBE-GGA; DOS at the Fermi energy = 3.380 states/eV/f.u.; polymorph energy (0 for the lowest one) = 943 meV/atom; VASP energy = -7.33 eV per atom; symmetry = F-43m (216); E_form = 0.3639 eV per atom
1.0
0.000 3.310 3.310
3.310 0.000 3.310
3.310 3.310 0.000
Hf Pa B
1 1 4
direct
0.000 0.000 0.000
0.750 0.750 0.750
0.346 0.346 0.346
0.346 0.346 0.963
0.346 0.963 0.346
0.963 0.346 0.346

***

No. 2
HfPaB2, optimized geometry, DFT PBE-GGA; DOS at the Fermi energy = 4.618 states/eV/f.u.; VASP energy = -8.36 eV per atom; symmetry = R-3m (166); E_form = -0.1635 eV per atom
1.0
1.777 1.026 5.866
-1.777 1.026 5.866
0.000 -2.052 5.866
Hf Pa B
1 1 2
direct
0.000 0.000 0.000
0.500 0.500 0.500
0.256 0.256 0.256
0.744 0.744 0.744

***

No. 3
HfPaB4, optimized geometry, DFT PBE-GGA; DOS at the Fermi energy = 2.868 states/eV/f.u.; polymorph energy (0 for the lowest one) = 0 meV/atom; VASP energy = -8.27 eV per atom; symmetry = I-4m2 (119); E_form = -0.5787 eV per atom
1.0
-1.737 1.737 5.703
1.737 -1.737 5.703
1.737 1.737 -5.703
Hf Pa B
1 1 4
direct
0.000 0.000 0.000
0.750 0.250 0.500
0.162 0.662 0.500
0.338 0.838 0.500
0.423 0.423 0.000
0.577 0.577 0.000

***

No. 4
Hf2PaB6, optimized geometry, DFT PBE-GGA; DOS at the Fermi energy = 4.130 states/eV/f.u.; VASP energy = -8.46 eV per atom; symmetry = P6/mmm (191); E_form = -0.7370 eV per atom
1.0
5.555 0.000 0.000
-2.778 4.811 0.000
0.000 0.000 3.702
Hf Pa B
2 1 6
direct
0.333 0.667 0.000
0.667 0.333 0.000
0.000 0.000 0.000
0.000 0.337 0.500
0.000 0.663 0.500
0.337 0.000 0.500
0.337 0.337 0.500
0.663 0.000 0.500
0.663 0.663 0.500

***

No. 5
Hf5BPb3, optimized geometry, DFT PBE-GGA; DOS at the Fermi energy = 4.630 states/eV/f.u.; VASP energy = -7.76 eV per atom; symmetry = P6_3/mcm (193); E_form = -0.2563 eV per atom
1.0
8.626 0.000 0.000
-4.313 7.470 0.000
0.000 0.000 5.848
Hf B Pb
10 2 6
direct
0.000 0.220 0.250
0.000 0.780 0.750
0.220 0.000 0.250
0.220 0.220 0.750
0.333 0.667 0.000
0.333 0.667 0.500
0.667 0.333 0.000
0.667 0.333 0.500
0.780 0.000 0.750
0.780 0.780 0.250
0.000 0.000 0.000
0.000 0.000 0.500
0.000 0.399 0.750
0.000 0.601 0.250
0.399 0.000 0.750
0.399 0.399 0.250
0.601 0.000 0.250
0.601 0.601 0.750

***

No. 6
Hf6BPb3, optimized geometry, DFT PBE-GGA; DOS at the Fermi energy = 7.213 states/eV/f.u.; VASP energy = -7.78 eV per atom; symmetry = P2_1/c (14); E_form = -0.0304 eV per atom
1.0
5.731 0.000 0.000
0.000 7.847 0.000
-5.451 0.000 9.912
Hf B Pb
12 2 6
direct
0.030 0.220 0.438
0.030 0.280 0.938
0.312 0.644 0.449
0.312 0.856 0.949
0.349 0.035 0.215
0.349 0.465 0.715
0.651 0.535 0.285
0.651 0.965 0.785
0.688 0.144 0.051
0.688 0.356 0.551
0.970 0.720 0.062
0.970 0.780 0.562
0.000 0.000 0.000
0.000 0.500 0.500
0.128 0.113 0.729
0.128 0.387 0.229
0.500 0.000 0.500
0.500 0.500 0.000
0.872 0.613 0.771
0.872 0.887 0.271

***

> Look up the DOS at the Fermi energy of the fifth one.

4.630 states/eV/f.u.

***

> Number 3 is which compound?

HfPaB4

***

> What is the VASP energy in the second record?

-8.36 eV per atom